! Ac4AlCo | Alexandria via LeMat-Bulk | GGA-PBE | relaxed; values from VASP
&SYSTEM
  ibrav = 0, nat = 12, ntyp = 3
/
ATOMIC_SPECIES
Al 26.98 Al.upf
Ac 227.00 Ac.upf
Co 58.93 Co.upf
CELL_PARAMETERS angstrom
5.870 0.000 -2.986
0.000 7.444 0.000
-1.385 0.000 10.156
ATOMIC_POSITIONS angstrom
Al 2.004 1.861 -0.536
Al 2.482 5.583 7.706
Ac -0.286 3.746 6.952
Ac -0.286 7.421 6.952
Ac 2.075 5.583 4.442
Ac 2.411 1.861 2.728
Ac 3.049 1.861 6.711
Ac 1.437 5.583 0.460
Ac 4.772 0.024 0.218
Ac 4.772 3.699 0.218
Co 0.592 1.861 4.963
Co 3.893 5.583 2.207
! ΔH_f (0 K) ... -52 meV per atom
! Calculated total energy ... -4.60 eV/atom